{
  "formula": "Pt3O4",
  "functional": "PBEsol",
  "state": "optimized geometry",
  "crystal_system": "cubic",
  "raw_formation_energy_mev_per_atom": -475,
  "lattice": [[5.579, 0.000, 0.000], [0.000, 5.579, 0.000], [0.000, 0.000, 5.579]],
  "species": ["Pt", "Pt", "Pt", "Pt", "Pt", "Pt", "O", "O", "O", "O", "O", "O", "O", "O"],
  "fractional_positions": [[0.000, 0.250, 0.500], [0.000, 0.750, 0.500], [0.250, 0.500, 0.000], [0.500, 0.000, 0.250], [0.500, 0.000, 0.750], [0.750, 0.500, 0.000], [0.250, 0.250, 0.250], [0.250, 0.250, 0.750], [0.250, 0.750, 0.250], [0.250, 0.750, 0.750], [0.750, 0.250, 0.250], [0.750, 0.250, 0.750], [0.750, 0.750, 0.250], [0.750, 0.750, 0.750]]
}

=====

{
  "formula": "YSiPb",
  "functional": "PBEsol",
  "state": "optimized geometry",
  "crystal_system": "trigonal",
  "raw_formation_energy_mev_per_atom": 86,
  "lattice": [[3.373, 0.000, 0.000], [-1.686, 2.921, 0.000], [0.000, 0.000, 7.375]],
  "species": ["Y", "Si", "Pb"],
  "fractional_positions": [[0.000, 0.000, 0.000], [0.333, 0.667, 0.303], [0.667, 0.333, 0.623]]
}

=====

{
  "formula": "OsRu3",
  "functional": "PBEsol",
  "state": "optimized geometry",
  "crystal_system": "hexagonal",
  "delta_e_f_ev_per_fu": 0.3,
  "lattice": [[5.366, 0.000, 0.000], [-2.683, 4.647, 0.000], [0.000, 0.000, 8.655]],
  "species": ["Os", "Os", "Os", "Os", "Ru", "Ru", "Ru", "Ru", "Ru", "Ru", "Ru", "Ru", "Ru", "Ru", "Ru", "Ru"],
  "fractional_positions": [[0.000, 0.000, 0.000], [0.000, 0.000, 0.500], [0.333, 0.667, 0.250], [0.667, 0.333, 0.750], [0.000, 0.500, 0.000], [0.000, 0.500, 0.500], [0.166, 0.333, 0.750], [0.166, 0.834, 0.750], [0.333, 0.166, 0.250], [0.500, 0.000, 0.000], [0.500, 0.000, 0.500], [0.500, 0.500, 0.000], [0.500, 0.500, 0.500], [0.667, 0.834, 0.750], [0.834, 0.166, 0.250], [0.834, 0.667, 0.250]]
}

=====

{
  "formula": "Na2ReAuI",
  "functional": "PBEsol",
  "state": "optimized geometry",
  "crystal_system": "tetragonal",
  "raw_formation_energy_mev_per_atom": 1433,
  "lattice": [[5.572, 0.000, 0.000], [0.000, 5.572, 0.000], [0.000, 0.000, 5.459]],
  "species": ["Na", "Na", "Re", "Au", "I"],
  "fractional_positions": [[0.000, 0.500, 0.000], [0.500, 0.000, 0.000], [0.000, 0.000, 0.500], [0.500, 0.500, 0.500], [0.500, 0.500, 0.000]]
}

=====

{
  "formula": "HgRh3",
  "functional": "PBEsol",
  "state": "optimized geometry",
  "crystal_system": "orthorhombic",
  "delta_e_f_ev_per_fu": 0.8,
  "lattice": [[2.785, 0.000, 0.000], [0.000, 8.983, 0.000], [0.000, 0.000, 4.775]],
  "species": ["Hg", "Hg", "Rh", "Rh", "Rh", "Rh", "Rh", "Rh"],
  "fractional_positions": [[0.000, 0.000, 0.000], [0.500, 0.500, 0.500], [0.000, 0.242, 0.656], [0.000, 0.500, 0.993], [0.000, 0.758, 0.656], [0.500, 0.000, 0.493], [0.500, 0.258, 0.156], [0.500, 0.742, 0.156]]
}

=====

{
  "formula": "Li3La",
  "functional": "PBEsol",
  "state": "optimized geometry",
  "crystal_system": "tetragonal",
  "delta_e_f_ev_per_fu": 0.8,
  "lattice": [[4.605, 0.000, 0.000], [0.000, 4.605, 0.000], [0.000, 0.000, 9.203]],
  "species": ["Li", "Li", "Li", "Li", "Li", "Li", "La", "La"],
  "fractional_positions": [[0.000, 0.000, 0.000], [0.000, 0.500, 0.250], [0.000, 0.500, 0.750], [0.500, 0.000, 0.250], [0.500, 0.000, 0.750], [0.500, 0.500, 0.500], [0.000, 0.000, 0.500], [0.500, 0.500, 0.000]]
}

=====

{
  "formula": "MnWN2O",
  "functional": "PBEsol",
  "state": "optimized geometry",
  "crystal_system": "tetragonal",
  "raw_formation_energy_mev_per_atom": 435,
  "lattice": [[3.648, 0.000, 0.000], [0.000, 3.648, 0.000], [0.000, 0.000, 3.520]],
  "species": ["Mn", "W", "N", "N", "O"],
  "fractional_positions": [[0.000, 0.000, 0.000], [0.500, 0.500, 0.500], [0.000, 0.500, 0.000], [0.500, 0.000, 0.000], [0.000, 0.000, 0.500]]
}

=====

{
  "formula": "BAs2C",
  "functional": "PBEsol",
  "state": "optimized geometry",
  "crystal_system": "tetragonal",
  "delta_e_f_ev_per_fu": 2.8,
  "lattice": [[4.690, 0.000, 0.000], [0.000, 4.690, 0.000], [0.000, 0.000, 9.566]],
  "species": ["B", "B", "B", "B", "As", "As", "As", "As", "As", "As", "As", "As", "C", "C", "C", "C"],
  "fractional_positions": [[0.000, 0.000, 0.000], [0.000, 0.500, 0.250], [0.500, 0.000, 0.750], [0.500, 0.500, 0.500], [0.250, 0.250, 0.125], [0.250, 0.250, 0.625], [0.250, 0.750, 0.375], [0.250, 0.750, 0.875], [0.750, 0.250, 0.375], [0.750, 0.250, 0.875], [0.750, 0.750, 0.125], [0.750, 0.750, 0.625], [0.000, 0.000, 0.500], [0.000, 0.500, 0.750], [0.500, 0.000, 0.250], [0.500, 0.500, 0.000]]
}